Entry 1:
Here is a relaxed structure of LaRh2W from Alexandria via LeMat-Bulk. Energies are from GGA-PBE.

Output
Calculated total energy ... -8.11 eV/atom
E_form ... 34 meV per atom
SG ... No. 65
N(E_F) ... 0.945 states/eV/atom

Unit cell a=4.9894 b=4.9894 c=2.9809 alpha=90.00 beta=90.00 gamma=104.23
Sites, in units of the cell vectors:
La 0.0000 0.0000 0.0000
Rh 0.0000 0.5000 0.5000
Rh 0.5000 0.0000 0.5000
W 0.5000 0.5000 0.0000

=====

Entry 2:
Here is a relaxed structure of Ac6IrRh2I3 from Alexandria via LeMat-Bulk. Energies are from GGA-PBE.

Output
Formation energy from raw total energies ... -1.05 eV per atom
Calculated total energy ... -5.46 eV/atom
SG ... No. 12
N(E_F) ... 0.264 states/eV/atom

Unit cell a=7.5915 b=7.5915 c=9.0266 alpha=98.06 beta=98.06 gamma=120.00
Sites, in units of the cell vectors:
Ac 0.0614 0.3936 0.1842
Ac 0.2707 0.2707 0.8158
Ac 0.3936 0.0614 0.1842
Ac 0.6064 0.9386 0.8158
Ac 0.7293 0.7293 0.1842
Ac 0.9386 0.6064 0.8158
Ir 0.0000 0.0000 0.0000
Rh 0.3334 0.6666 0.0000
Rh 0.6666 0.3334 0.0000
I 0.1668 0.8332 0.5000
I 0.5000 0.5000 0.5000
I 0.8332 0.1668 0.5000

=====

Entry 3:
Here is a relaxed structure of AcPm4Sm4 from Alexandria via LeMat-Bulk. Energies are from GGA-PBE.

Output
Calculated total energy ... -4.64 eV/atom
E_form ... 24 meV per atom
SG ... No. 2
N(E_F) ... 1.543 states/eV/atom

Unit cell a=6.3646 b=9.7395 c=11.0364 alpha=100.96 beta=106.68 gamma=96.18
Sites, in units of the cell vectors:
Ac 0.2477 0.4161 0.1940
Ac 0.7523 0.5839 0.8060
Pm 0.2455 0.4152 0.5286
Pm 0.2492 0.0832 0.6382
Pm 0.2495 0.0808 0.3065
Pm 0.2566 0.7543 0.0853
Pm 0.7434 0.2457 0.9147
Pm 0.7505 0.9192 0.6935
Pm 0.7508 0.9168 0.3618
Pm 0.7545 0.5848 0.4714
Sm 0.2480 0.0795 0.9702
Sm 0.2485 0.4126 0.8582
Sm 0.2520 0.7546 0.7495
Sm 0.2531 0.7533 0.4190
Sm 0.7469 0.2467 0.5810
Sm 0.7480 0.2454 0.2505
Sm 0.7515 0.5874 0.1418
Sm 0.7520 0.9205 0.0298

=====

Question: The lowest N(E_F) belongs to which entry?
Answer: Ac6IrRh2I3